40
Lattice="9.855 0.000 0.000 0.000 9.855 0.000 0.000 0.000 9.855" Properties=species:S:1:pos:R:3 comment="La3Sn13Rh4 (PBE, relaxed)" m_tot_mub_per_cell=0.0 formation_energy_ev_per_atom=-0.623 space_group="Pm-3n (223)" dos_at_fermi_per_ev_atom=0.30 crystal_system=cubic pbc="T T T"
La 0.000 2.464 4.927
La 0.000 7.391 4.927
La 2.464 4.927 0.000
La 4.927 0.000 2.464
La 4.927 0.000 7.391
La 7.391 4.927 0.000
Sn 0.000 0.000 0.000
Sn 0.000 3.014 1.512
Sn 0.000 3.014 8.343
Sn 0.000 6.841 1.512
Sn 0.000 6.841 8.343
Sn 1.512 0.000 3.014
Sn 1.512 0.000 6.841
Sn 1.913 4.927 3.416
Sn 1.913 4.927 6.439
Sn 3.014 1.512 0.000
Sn 3.014 8.343 0.000
Sn 3.416 1.913 4.927
Sn 3.416 7.941 4.927
Sn 4.927 3.416 1.913
Sn 4.927 3.416 7.941
Sn 4.927 4.927 4.927
Sn 4.927 6.439 1.913
Sn 4.927 6.439 7.941
Sn 6.439 1.913 4.927
Sn 6.439 7.941 4.927
Sn 6.841 1.512 0.000
Sn 6.841 8.343 0.000
Sn 7.941 4.927 3.416
Sn 7.941 4.927 6.439
Sn 8.343 0.000 3.014
Sn 8.343 0.000 6.841
Rh 2.464 2.464 2.464
Rh 2.464 2.464 7.391
Rh 2.464 7.391 2.464
Rh 2.464 7.391 7.391
Rh 7.391 2.464 2.464
Rh 7.391 2.464 7.391
Rh 7.391 7.391 2.464
Rh 7.391 7.391 7.391



11
Lattice="2.694 -8.045 0.000 2.694 8.045 0.000 0.000 0.000 7.867" Properties=species:S:1:pos:R:3 comment="Pr6Cd5 (PBE, relaxed)" m_tot_mub_per_cell=1.7 formation_energy_ev_per_atom=-0.224 space_group="Cmmm (65)" dos_at_fermi_per_ev_atom=1.33 crystal_system=orthorhombic pbc="T T T"
Pr 0.000 0.000 1.919
Pr 0.000 0.000 5.948
Pr 2.694 2.598 1.940
Pr 2.694 2.598 5.927
Pr 2.694 -2.598 1.940
Pr 2.694 -2.598 5.927
Cd 2.694 5.320 3.934
Cd 2.694 5.261 0.000
Cd 2.694 0.000 3.934
Cd 2.694 -5.261 0.000
Cd 2.694 -5.320 3.934



12
Lattice="1.957 -14.905 0.000 1.957 14.905 0.000 0.000 0.000 7.234" Properties=species:S:1:pos:R:3 comment="Ac2DyTl3 (PBE, relaxed)" m_tot_mub_per_cell=0.0 formation_energy_ev_per_atom=-0.196 space_group="Cmcm (63)" dos_at_fermi_per_ev_atom=0.91 crystal_system=orthorhombic relative_energy_kj_per_mol_atoms=14.2 pbc="T T T"
Ac 1.957 14.581 5.425
Ac 1.957 10.068 1.808
Ac 1.957 -10.068 5.425
Ac 1.957 -14.581 1.808
Dy 1.957 4.722 1.808
Dy 1.957 -4.722 5.425
Tl 1.957 7.692 5.425
Tl 1.957 2.336 3.847
Tl 1.957 2.336 7.004
Tl 1.957 -2.336 0.230
Tl 1.957 -2.336 3.387
Tl 1.957 -7.692 1.808



4
Lattice="-1.430 2.367 5.434 1.430 -2.367 5.434 1.430 2.367 -5.434" Properties=species:S:1:pos:R:3 comment="CoHgAs2 (PBE, relaxed)" m_tot_mub_per_cell=0.3 formation_energy_ev_per_atom=0.139 space_group="Immm (71)" dos_at_fermi_per_ev_atom=0.64 crystal_system=orthorhombic pbc="T T T"
Co 0.000 0.000 0.000
Hg 0.000 0.000 5.434
As 1.430 0.000 1.959
As 0.000 2.367 3.475



4
Lattice="4.145 0.000 0.000 0.000 4.297 0.000 0.000 0.000 4.333" Properties=species:S:1:pos:R:3 comment="TaCd2Ag (PBE, relaxed)" m_tot_mub_per_cell=0.0 formation_energy_ev_per_atom=0.395 space_group="Pmmm (47)" dos_at_fermi_per_ev_atom=0.86 crystal_system=orthorhombic relative_energy_kj_per_mol_atoms=23.7 pbc="T T T"
Ta 0.000 0.000 0.000
Cd 2.073 0.000 2.166
Cd 2.073 2.148 0.000
Ag 0.000 2.148 2.166



20
Lattice="9.770 0.000 0.000 0.000 9.770 0.000 0.000 0.000 3.635" Properties=species:S:1:pos:R:3 comment="Er2HfGe2Rh5 (PBE, relaxed)" m_tot_mub_per_cell=0.0 formation_energy_ev_per_atom=-0.902 space_group="P4/mbm (127)" dos_at_fermi_per_ev_atom=0.24 crystal_system=tetragonal pbc="T T T"
Er 1.691 3.194 0.000
Er 3.194 8.079 0.000
Er 6.576 1.691 0.000
Er 8.079 6.576 0.000
Hf 0.000 0.000 0.000
Hf 4.885 4.885 0.000
Ge 1.217 6.102 0.000
Ge 3.668 1.217 0.000
Ge 6.102 8.553 0.000
Ge 8.553 3.668 0.000
Rh 0.000 4.885 1.817
Rh 0.663 7.731 1.817
Rh 2.039 0.663 1.817
Rh 2.846 5.548 1.817
Rh 4.222 2.846 1.817
Rh 4.885 0.000 1.817
Rh 5.548 6.924 1.817
Rh 6.924 4.222 1.817
Rh 7.731 9.106 1.817
Rh 9.106 2.039 1.817



5
Lattice="4.003 0.000 0.000 0.000 4.003 0.000 0.000 0.000 4.003" Properties=species:S:1:pos:R:3 comment="HPd3Pt (PBE, relaxed)" m_tot_mub_per_cell=0.0 space_group="Pm-3m (221)" dos_at_fermi_per_ev_atom=1.28 crystal_system=cubic relative_energy_kj_per_mol_atoms=1.1 pbc="T T T"
H 0.000 0.000 0.000
Pd 0.000 0.000 2.001
Pd 0.000 2.001 0.000
Pd 2.001 0.000 0.000
Pt 2.001 2.001 2.001



5
Lattice="4.707 0.000 0.000 0.000 4.707 0.000 0.000 0.000 4.707" Properties=species:S:1:pos:R:3 comment="Ti3SbSe (PBE, relaxed)" m_tot_mub_per_cell=1.8 space_group="Pm-3m (221)" dos_at_fermi_per_ev_atom=1.24 crystal_system=cubic relative_energy_kj_per_mol_atoms=51.0 formation_energy_uncorrected_ev_per_atom=-0.07 pbc="T T T"
Ti 0.000 0.000 2.353
Ti 0.000 2.353 0.000
Ti 2.353 0.000 0.000
Sb 2.353 2.353 2.353
Se 0.000 0.000 0.000



9
Lattice="4.333 -1.952 0.000 4.333 1.952 0.000 -2.464 0.000 7.954" Properties=species:S:1:pos:R:3 comment="Zn6AgPt2 (PBE, relaxed)" m_tot_mub_per_cell=0.0 formation_energy_ev_per_atom=-0.301 space_group="C2/m (12)" dos_at_fermi_per_ev_atom=0.34 crystal_system=monoclinic relative_energy_kj_per_mol_atoms=0.0 pbc="T T T"
Zn -0.773 0.000 2.641
Zn 1.810 0.000 3.525
Zn 2.637 0.000 0.892
Zn 3.565 0.000 7.062
Zn 4.392 0.000 4.429
Zn 6.975 0.000 5.313
Ag 0.000 0.000 0.000
Pt 0.886 0.000 6.075
Pt 5.315 0.000 1.880



4
Lattice="1.518 0.876 8.542 -1.518 0.876 8.542 0.000 -1.752 8.542" Properties=species:S:1:pos:R:3 comment="ScMn2Au (PBE, relaxed)" m_tot_mub_per_cell=0.7 formation_energy_ev_per_atom=0.109 space_group="R3m (160)" dos_at_fermi_per_ev_atom=0.90 crystal_system=trigonal pbc="T T T"
Sc 0.000 0.000 0.000
Mn 0.000 0.000 6.323
Mn 0.000 0.000 13.063
Au 0.000 0.000 19.434



30
Lattice="3.569 -5.749 0.000 3.569 5.749 0.000 0.000 0.000 24.865" Properties=species:S:1:pos:R:3 comment="NdSm12Er2 (PBE, relaxed)" m_tot_mub_per_cell=0.0 formation_energy_ev_per_atom=0.161 space_group="Cmme (67)" dos_at_fermi_per_ev_atom=1.50 crystal_system=orthorhombic pbc="T T T"
Nd 3.569 2.875 24.836
Nd 3.569 -2.875 0.029
Sm 1.796 2.875 21.596
Sm 3.569 5.723 1.911
Sm 1.911 2.875 10.291
Sm 3.569 5.484 13.926
Sm 1.785 0.000 4.979
Sm 1.785 0.000 8.094
Sm 1.785 0.000 16.771
Sm 1.785 0.000 19.886
Sm 3.569 0.265 13.926
Sm 5.227 2.875 10.291
Sm 3.569 0.027 1.911
Sm 5.343 2.875 21.596
Sm 1.796 -2.875 3.269
Sm 3.569 -0.027 22.954
Sm 1.911 -2.875 14.574
Sm 3.569 -0.265 10.939
Sm 5.354 0.000 4.979
Sm 5.354 0.000 8.094
Sm 5.354 0.000 16.771
Sm 5.354 0.000 19.886
Sm 3.569 -5.484 10.939
Sm 5.227 -2.875 14.574
Sm 3.569 -5.723 22.954
Sm 5.343 -2.875 3.269
Er 3.569 2.875 6.634
Er 3.569 2.875 18.138
Er 3.569 -2.875 6.727
Er 3.569 -2.875 18.231



16
Lattice="-4.245 4.245 5.915 4.245 -4.245 5.915 4.245 4.245 -5.915" Properties=species:S:1:pos:R:3 comment="Ce3In4Ge (PBE, relaxed)" m_tot_mub_per_cell=3.4 formation_energy_ev_per_atom=-0.474 space_group="I4/mcm (140)" dos_at_fermi_per_ev_atom=2.01 crystal_system=tetragonal pbc="T T T"
Ce 5.628 1.383 0.000
Ce 0.000 0.000 2.958
Ce 1.383 2.861 0.000
Ce 2.861 1.383 5.915
Ce 0.000 0.000 8.873
Ce -1.383 2.861 5.915
In 5.467 -1.222 2.133
In 3.022 -1.222 3.782
In 3.022 1.222 2.133
In 5.467 1.222 3.782
In -1.222 3.022 2.133
In 1.222 3.022 3.782
In 1.222 5.467 2.133
In -1.222 5.467 3.782
Ge 0.000 0.000 0.000
Ge 0.000 0.000 5.915